No. 1
Material: CaCe2PrSe4
Method: DFT, PBE-GGA
State: optimized geometry

Output
Formation energy (no corrections), eV/atom: -1.845

a b c (Å): 4.2012 7.3561 7.3207
angles (deg): 70.84 90.00 90.00
Fractional coordinates of all 8 atoms:
Ca: 0.5000 0.5000 0.0000
Ce: 0.0000 0.0000 0.0000
Ce: 0.5000 0.0000 0.5000
Pr: 0.0000 0.5000 0.5000
Se: 0.0000 0.7466 0.7561
Se: 0.0000 0.2534 0.2439
Se: 0.5000 0.7503 0.2444
Se: 0.5000 0.2497 0.7556



No. 2
Material: Y3TlNi
Method: DFT, PBE-GGA
State: optimized geometry

Output
Total energy, eV/atom: -5.6855

a b c (Å): 5.2220 5.2220 5.2220
angles (deg): 90.00 90.00 90.00
Fractional coordinates of all 5 atoms:
Y: 0.0000 0.5000 0.0000
Y: 0.0000 0.0000 0.5000
Y: 0.5000 0.0000 0.0000
Ni: 0.0000 0.0000 0.0000
Tl: 0.5000 0.5000 0.5000



No. 3
Material: BaNa6Br8
Method: DFT, PBE-GGA
State: optimized geometry

Output
Formation energy (no corrections), eV/atom: -1.644

a b c (Å): 8.7036 8.7036 8.7036
angles (deg): 60.00 60.00 60.00
Fractional coordinates of all 15 atoms:
Ba: 0.0000 0.0000 0.0000
Na: 0.0000 0.5000 0.5000
Na: 0.5000 0.0000 0.0000
Na: 0.5000 0.5000 0.0000
Na: 0.0000 0.0000 0.5000
Na: 0.0000 0.5000 0.0000
Na: 0.5000 0.0000 0.5000
Br: 0.7500 0.7500 0.7500
Br: 0.2500 0.2500 0.2500
Br: 0.7426 0.2574 0.2574
Br: 0.2574 0.7426 0.7426
Br: 0.2574 0.2574 0.7426
Br: 0.7426 0.7426 0.2574
Br: 0.7426 0.2574 0.7426
Br: 0.2574 0.7426 0.2574



No. 4
Material: Cs2KTeBr
Method: DFT, PBE-GGA
State: optimized geometry

Output
Formation energy (no corrections), eV/atom: -1.100

a b c (Å): 6.7013 6.7013 6.1139
angles (deg): 90.00 90.00 90.00
Fractional coordinates of all 5 atoms:
Cs: 0.0000 0.5000 0.0000
Cs: 0.5000 0.0000 0.0000
K: 0.0000 0.0000 0.5000
Te: 0.5000 0.5000 0.5000
Br: 0.0000 0.0000 0.0000



No. 5
Material: TbAl4NiAu2
Method: DFT, PBE-GGA
State: optimized geometry

Output
Total energy, eV/atom: -4.4960

a b c (Å): 4.3300 4.3300 8.9553
angles (deg): 76.01 76.01 60.00
Fractional coordinates of all 8 atoms:
Tb: 0.0000 0.0000 0.0000
Al: 0.4042 0.4042 0.7873
Al: 0.8643 0.8643 0.4070
Al: 0.1357 0.1357 0.5930
Al: 0.5958 0.5958 0.2127
Ni: 0.5000 0.5000 0.5000
Au: 0.7556 0.7556 0.7332
Au: 0.2444 0.2444 0.2668



No. 6
Material: Mn2Tl3SnBr9
Method: DFT, PBE-GGA
State: optimized geometry

Output
Formation energy (no corrections), eV/atom: -0.765

a b c (Å): 7.6815 7.6815 9.9189
angles (deg): 90.00 90.00 120.00
Fractional coordinates of all 15 atoms:
Mn: 0.3333 0.6667 0.1674
Mn: 0.6667 0.3333 0.8326
Tl: 0.3333 0.6667 0.7407
Tl: 0.0000 0.0000 0.0000
Tl: 0.6667 0.3333 0.2593
Sn: 0.0000 0.0000 0.5000
Br: 0.8317 0.1683 0.6928
Br: 0.8317 0.6635 0.6928
Br: 0.3365 0.1683 0.6928
Br: 0.6635 0.8317 0.3072
Br: 0.1683 0.3365 0.3072
Br: 0.1683 0.8317 0.3072
Br: 0.5000 0.0000 0.0000
Br: 0.0000 0.5000 0.0000
Br: 0.5000 0.5000 0.0000



No. 7
Material: ZrOs2Cl
Method: DFT, PBE-GGA
State: optimized geometry

Output
Formation energy (no corrections), eV/atom: 0.416

a b c (Å): 5.8354 5.8354 5.8354
angles (deg): 143.76 143.76 52.18
Fractional coordinates of all 4 atoms:
Cl: 0.7500 0.2500 0.5000
Os: 0.0000 0.0000 0.0000
Os: 0.5000 0.5000 0.0000
Zr: 0.2500 0.7500 0.5000



No. 8
Material: BaTa2Re
Method: DFT, PBE-GGA
State: optimized geometry

Output
Total energy, eV/atom: -8.8675

a b c (Å): 3.0073 3.0073 10.3818
angles (deg): 90.00 90.00 111.51
Fractional coordinates of all 4 atoms:
Re: 0.5000 0.5000 0.7500
Ba: 0.5000 0.5000 0.2500
Ta: 0.0000 0.0000 0.9448
Ta: 0.0000 0.0000 0.5552



No. 9
Material: KMg2Sn3
Method: DFT, PBE-GGA
State: optimized geometry

Output
Total energy, eV/atom: -2.8367

a b c (Å): 6.3921 7.7944 7.7944
angles (deg): 104.14 90.00 90.00
Fractional coordinates of all 12 atoms:
K: 0.2500 0.3274 0.3274
K: 0.7500 0.6726 0.6726
Mg: 0.5000 0.7802 0.2198
Mg: 0.0000 0.7802 0.2198
Mg: 0.0000 0.2198 0.7802
Mg: 0.5000 0.2198 0.7802
Sn: 0.7500 0.4584 0.0618
Sn: 0.7500 0.0618 0.4584
Sn: 0.2500 0.5416 0.9382
Sn: 0.7500 0.0611 0.0611
Sn: 0.2500 0.9389 0.9389
Sn: 0.2500 0.9382 0.5416



No. 10
Material: CaPuCu4
Method: DFT, PBE-GGA
State: optimized geometry

Output
Total energy, eV/atom: -5.4309

a b c (Å): 5.2752 5.2752 5.2752
angles (deg): 60.00 60.00 60.00
Fractional coordinates of all 6 atoms:
Ca: 0.0000 0.0000 0.0000
Cu: 0.6254 0.6254 0.1238
Cu: 0.6254 0.1238 0.6254
Cu: 0.6254 0.6254 0.6254
Cu: 0.1238 0.6254 0.6254
Pu: 0.2500 0.2500 0.2500



No. 11
Material: Pr5Sm2YEr
Method: DFT, PBE-GGA
State: optimized geometry

Output
Total energy, eV/atom: -4.6457

a b c (Å): 8.6645 8.6645 10.4458
angles (deg): 114.50 114.50 90.00
Fractional coordinates of all 18 atoms:
Pr: 0.9265 0.4265 0.2849
Pr: 0.6417 0.1417 0.7151
Pr: 0.0735 0.5735 0.7151
Pr: 0.1417 0.0735 0.7151
Pr: 0.5735 0.6417 0.7151
Pr: 0.8583 0.9265 0.2849
Pr: 0.4265 0.3583 0.2849
Pr: 0.3583 0.8583 0.2849
Pr: 0.5000 0.5000 0.0000
Pr: 0.0000 0.0000 0.0000
Sm: 0.1217 0.3783 0.0000
Sm: 0.6217 0.1217 0.0000
Sm: 0.3783 0.8783 0.0000
Sm: 0.8783 0.6217 0.0000
Y: 0.2500 0.2500 0.5000
Y: 0.7500 0.7500 0.5000
Er: 0.2500 0.7500 0.5000
Er: 0.7500 0.2500 0.5000



No. 12
Material: Sm2AgRh
Method: DFT, PBE-GGA
State: optimized geometry

Output
Total energy, eV/atom: -5.3949

a b c (Å): 5.0889 5.0889 5.0889
angles (deg): 60.00 60.00 60.00
Fractional coordinates of all 4 atoms:
Rh: 0.0000 0.0000 0.0000
Ag: 0.5000 0.5000 0.5000
Sm: 0.2500 0.2500 0.2500
Sm: 0.7500 0.7500 0.7500



No. 13
Material: Ta2AgMo
Method: DFT, PBE-GGA
State: optimized geometry

Output
Total energy, eV/atom: -9.2539

a b c (Å): 2.8078 2.8078 9.3452
angles (deg): 90.00 90.00 108.71
Fractional coordinates of all 4 atoms:
Ag: 0.5000 0.5000 0.2500
Mo: 0.5000 0.5000 0.7500
Ta: 0.0000 0.0000 0.9900
Ta: 0.0000 0.0000 0.5100



No. 14
Material: Rb2SrCeS4
Method: DFT, PBE-GGA
State: optimized geometry

Output
Formation energy (no corrections), eV/atom: -1.711

a b c (Å): 4.2852 8.0330 7.4081
angles (deg): 72.13 90.00 90.00
Fractional coordinates of all 8 atoms:
Rb: 0.0000 0.0000 0.0000
Rb: 0.5000 0.0000 0.5000
Sr: 0.5000 0.5000 0.0000
Ce: 0.0000 0.5000 0.5000
S: 0.0000 0.6966 0.7400
S: 0.0000 0.3034 0.2600
S: 0.5000 0.6932 0.2888
S: 0.5000 0.3068 0.7112



No. 15
Material: Al2CdP2
Method: DFT, PBE-GGA
State: optimized geometry

Output
Total energy, eV/atom: -3.7328

a b c (Å): 7.2592 7.2592 3.2572
angles (deg): 90.00 90.00 90.00
Fractional coordinates of all 10 atoms:
P: 0.1561 0.6561 0.5000
P: 0.6561 0.8439 0.5000
P: 0.8439 0.3439 0.5000
P: 0.3439 0.1561 0.5000
Al: 0.3660 0.8660 0.0000
Al: 0.8660 0.6340 0.0000
Al: 0.6340 0.1340 0.0000
Al: 0.1340 0.3660 0.0000
Cd: 0.0000 0.0000 0.0000
Cd: 0.5000 0.5000 0.0000



No. 16
Material: LaEr2Ge2Pt7
Method: DFT, PBE-GGA
State: optimized geometry

Output
Total energy, eV/atom: -6.3679

a b c (Å): 4.1021 4.1021 14.1529
angles (deg): 83.00 83.00 88.94
Fractional coordinates of all 12 atoms:
La: 0.0000 0.0000 0.0000
Er: 0.8702 0.8702 0.3616
Er: 0.1298 0.1298 0.6384
Ge: 0.6115 0.6115 0.7360
Ge: 0.3885 0.3885 0.2640
Pt: 0.5000 0.5000 0.0000
Pt: 0.3590 0.3590 0.4354
Pt: 0.6410 0.6410 0.5646
Pt: 0.9292 0.4297 0.1646
Pt: 0.4297 0.9292 0.1646
Pt: 0.5703 0.0708 0.8354
Pt: 0.0708 0.5703 0.8354



No. 17
Material: TaVRh2
Method: DFT, PBE-GGA
State: optimized geometry

Output
Total energy, eV/atom: -9.1628

a b c (Å): 4.4320 4.4320 4.4320
angles (deg): 60.00 60.00 60.00
Fractional coordinates of all 4 atoms:
V: 0.0000 0.0000 0.0000
Rh: 0.2500 0.2500 0.2500
Rh: 0.7500 0.7500 0.7500
Ta: 0.5000 0.5000 0.5000



No. 18
Material: DyFe2Br8
Method: DFT, PBE-GGA
State: optimized geometry

Output
Formation energy (no corrections), eV/atom: -0.954

a b c (Å): 6.5584 8.2058 8.2058
angles (deg): 78.10 86.82 86.82
Fractional coordinates of all 11 atoms:
Fe: 0.6427 0.8058 0.8058
Fe: 0.3573 0.1942 0.1942
Br: 0.2347 0.2831 0.9117
Br: 0.7653 0.0883 0.7169
Br: 0.2713 0.8149 0.8149
Br: 0.7287 0.1851 0.1851
Br: 0.2347 0.9117 0.2831
Br: 0.7653 0.7169 0.0883
Br: 0.7670 0.6330 0.6330
Br: 0.2330 0.3670 0.3670
Dy: 0.0000 0.0000 0.0000



No. 19
Material: PrTaSe3
Method: DFT, PBE-GGA
State: optimized geometry

Output
Formation energy (no corrections), eV/atom: -1.273

a b c (Å): 3.7623 7.7556 8.5098
angles (deg): 93.20 90.00 104.04
Fractional coordinates of all 10 atoms:
Pr: 0.4196 0.8722 0.3167
Pr: 0.6244 0.2818 0.1049
Ta: 0.2299 0.4927 0.5886
Ta: 0.8141 0.6614 0.8329
Se: 0.0794 0.1918 0.3813
Se: 0.3982 0.8295 0.6830
Se: 0.6458 0.3246 0.7386
Se: 0.9646 0.9623 0.0403
Se: 0.2745 0.5821 0.0432
Se: 0.7695 0.5720 0.3784



No. 20
Material: NaHg2PO4
Method: DFT, PBE-GGA
State: optimized geometry

Output
Formation energy (no corrections), eV/atom: -1.352

a b c (Å): 4.8193 4.8193 6.5515
angles (deg): 111.23 111.23 90.88
Fractional coordinates of all 8 atoms:
Na: 0.0029 0.0029 0.0057
Hg: 0.7506 0.2506 0.5012
Hg: 0.2506 0.7506 0.5012
P: 0.4994 0.4994 0.9987
O: 0.6090 0.6090 0.8391
O: 0.3921 0.7657 0.1578
O: 0.7657 0.3921 0.1578
O: 0.2300 0.2300 0.8391



No. 21
Material: PmMnGePd
Method: DFT, PBE-GGA
State: optimized geometry

Output
Total energy, eV/atom: -6.2831

a b c (Å): 4.8172 4.8172 4.8172
angles (deg): 60.00 60.00 60.00
Fractional coordinates of all 4 atoms:
Ge: 0.0000 0.0000 0.0000
Mn: 0.2500 0.2500 0.2500
Pd: 0.5000 0.5000 0.5000
Pm: 0.7500 0.7500 0.7500



No. 22
Material: CuGeAu2O8
Method: DFT, PBE-GGA
State: optimized geometry

Output
Formation energy (no corrections), eV/atom: 0.103

a b c (Å): 5.6862 5.6862 5.6862
angles (deg): 113.72 113.72 101.28
Fractional coordinates of all 12 atoms:
Cu: 0.0000 0.0000 0.0000
Ge: 0.2500 0.7500 0.5000
Au: 0.7500 0.2500 0.5000
Au: 0.5000 0.5000 0.0000
O: 0.3301 0.0206 0.3094
O: 0.2813 0.4802 0.1989
O: 0.2813 0.0825 0.8011
O: 0.7112 0.0206 0.6906
O: 0.9175 0.7187 0.1989
O: 0.9794 0.2888 0.3094
O: 0.9794 0.6699 0.6906
O: 0.5198 0.7187 0.8011



No. 23
Material: NaTc2SnSb
Method: DFT, PBE-GGA
State: optimized geometry

Output
Formation energy (no corrections), eV/atom: 1.875

a b c (Å): 4.9227 5.0755 4.9227
angles (deg): 90.00 90.00 90.00
Fractional coordinates of all 5 atoms:
Sb: 0.0000 0.5000 0.0000
Na: 0.0000 0.0000 0.0000
Sn: 0.5000 0.5000 0.5000
Tc: 0.0000 0.0000 0.5000
Tc: 0.5000 0.0000 0.0000



No. 24
Material: AlAsPO2
Method: DFT, PBE-GGA
State: optimized geometry

Output
Formation energy (no corrections), eV/atom: -0.787

a b c (Å): 3.5316 3.5316 6.3449
angles (deg): 90.00 90.00 90.00
Fractional coordinates of all 5 atoms:
P: 0.0000 0.0000 0.5000
As: 0.5000 0.5000 0.5000
Al: 0.0000 0.0000 0.0000
O: 0.0000 0.5000 0.0000
O: 0.5000 0.0000 0.0000